(1)
Ta4As: optimized geometry, PBE.

Values from the calculation:
Space-group type: Pm-3m
Relative energy among the computed polymorphs in meV/atom: 152
Total magnetization in μB per atom: 0.0000
ΔE_f in eV per formula unit: 4.4

Unit cell a=4.6929 b=4.6929 c=4.6929 alpha=90.00 beta=90.00 gamma=90.00
With the nearest neighbours (Å) after each atom.
Positions (direct):
Ta1 0.5000 0.0000 0.5000  2 As 2.35
Ta2 0.0000 0.5000 0.5000  2 As 2.35
Ta3 0.5000 0.5000 0.0000  2 As 2.35
Ta4 0.0000 0.0000 0.0000  12 Ta 3.32
As1 0.5000 0.5000 0.5000  6 Ta 2.35



(2)
Ta3As: optimized geometry, PBE.

Values from the calculation:
Space-group type: P6_3/mmc
Total magnetization in μB per atom: 0.0000
ΔE_f in eV per formula unit: -0.1

Unit cell a=5.7234 b=5.7234 c=4.9122 alpha=90.00 beta=90.00 gamma=120.00
With the nearest neighbours (Å) after each atom.
Positions (direct):
Ta1 0.6749 0.8374 0.7500  8 Ta 2.79-2.94, 4 As 2.86-2.98
Ta2 0.8374 0.1626 0.2500  8 Ta 2.79-2.94, 4 As 2.86-2.98
Ta3 0.8374 0.6749 0.2500  8 Ta 2.79-2.94, 4 As 2.86-2.98
Ta4 0.1626 0.3251 0.7500  8 Ta 2.79-2.94, 4 As 2.86-2.98
Ta5 0.3251 0.1626 0.2500  8 Ta 2.79-2.94, 4 As 2.86-2.98
Ta6 0.1626 0.8374 0.7500  8 Ta 2.79-2.94, 4 As 2.86-2.98
As1 0.6667 0.3333 0.7500  12 Ta 2.86-2.98
As2 0.3333 0.6667 0.2500  12 Ta 2.86-2.98



(3)
TaAs2: optimized geometry, PBE.

Values from the calculation:
Space-group type: I4_1/amd
Total magnetization in μB per atom: 0.0001
ΔE_f in eV per formula unit: -0.2

Unit cell a=11.1538 b=11.1538 c=11.1538 alpha=163.05 beta=163.05 gamma=24.06
With the nearest neighbours (Å) after each atom.
Positions (direct):
As1 0.1837 0.6837 0.5000  4 Ta 2.74, 3 As 2.89-3.04
As2 0.3163 0.8163 0.5000  4 Ta 2.74, 3 As 2.89-3.04
As3 0.5663 0.5663 0.0000  4 Ta 2.74, 3 As 2.89-3.04
As4 0.4337 0.4337 0.0000  4 Ta 2.74, 3 As 2.89-3.04
Ta1 0.7500 0.2500 0.5000  8 As 2.74
Ta2 0.0000 0.0000 0.0000  8 As 2.74



(4)
Ta3As: optimized geometry, PBE.

Values from the calculation:
Space-group type: P4/mmm
Total magnetization in μB per atom: 0.0000
ΔE_f in eV per formula unit: -0.7

Unit cell a=3.4430 b=3.4430 c=5.9057 alpha=90.00 beta=90.00 gamma=90.00
With the nearest neighbours (Å) after each atom.
Positions (direct):
Ta1 0.0000 0.0000 0.5000  8 Ta 2.87, 2 As 2.95
Ta2 0.5000 0.5000 0.7563  4 As 2.83, 6 Ta 2.87-3.03
Ta3 0.5000 0.5000 0.2437  4 As 2.83, 6 Ta 2.87-3.03
As1 0.0000 0.0000 0.0000  10 Ta 2.83-2.95



(5)
TaAs2: optimized geometry, PBE.

Values from the calculation:
Space-group type: C2/m
Total magnetization in μB per atom: 0.0000
ΔE_f in eV per formula unit: -0.4

Unit cell a=6.4796 b=6.4796 c=7.2725 alpha=76.22 beta=76.22 gamma=25.09
With the nearest neighbours (Å) after each atom.
Positions (direct):
As1 0.7163 0.7163 0.7836  3 Ta 2.63-2.76, 2 As 2.82
As2 0.2837 0.2837 0.2164  3 Ta 2.63-2.76, 2 As 2.82
As3 0.0216 0.0216 0.2495  4 Ta 2.77-2.84, 2 As 2.82
As4 0.9784 0.9784 0.7505  4 Ta 2.77-2.84, 2 As 2.82
Ta1 0.3669 0.3669 0.5151  7 As 2.63-2.84, 2 Ta 2.82
Ta2 0.6331 0.6331 0.4849  7 As 2.63-2.84, 2 Ta 2.82



(6)
TaAs3: optimized geometry, PBE.

Values from the calculation:
Space-group type: Pm-3m
Total magnetization in μB per atom: 0.1020
ΔE_f in eV per formula unit: 1.9

Unit cell a=4.1824 b=4.1824 c=4.1824 alpha=90.00 beta=90.00 gamma=90.00
With the nearest neighbours (Å) after each atom.
Positions (direct):
As1 0.5000 0.0000 0.5000  4 Ta 2.96, 8 As 2.96
As2 0.5000 0.5000 0.0000  8 As 2.96, 4 Ta 2.96
As3 0.0000 0.5000 0.5000  4 Ta 2.96, 8 As 2.96
Ta1 0.0000 0.0000 0.0000  12 As 2.96



(7)
TaAs3: optimized geometry, PBE.

Values from the calculation:
Space-group type: R-3m
Total magnetization in μB per atom: 0.0000
ΔE_f in eV per formula unit: 0.4

Unit cell a=8.7462 b=8.7462 c=8.7462 alpha=21.27 beta=21.27 gamma=21.27
With the nearest neighbours (Å) after each atom.
Positions (direct):
Ta1 0.0000 0.0000 0.0000  6 As 2.64
As1 0.5000 0.5000 0.5000  12 As 3.05-3.23
As2 0.2607 0.2607 0.2607  3 Ta 2.64
As3 0.7393 0.7393 0.7393  3 Ta 2.64



(8)
TaAs3: optimized geometry, PBE.

Values from the calculation:
Space-group type: P6/mmm
Total magnetization in μB per atom: 0.0000
ΔE_f in eV per formula unit: 1.2

Unit cell a=5.6419 b=5.6419 c=5.5009 alpha=90.00 beta=90.00 gamma=120.05
With the nearest neighbours (Å) after each atom.
Positions (direct):
As1 0.0002 0.9998 0.2500  6 As 2.75-2.82, 2 Ta 2.82
As2 0.4998 0.0003 0.7500  6 As 2.75-2.82, 2 Ta 2.82
As3 0.0003 0.4998 0.2500  6 As 2.75-2.82, 2 Ta 2.82
As4 0.5002 0.9997 0.2500  6 As 2.75-2.82, 2 Ta 2.82
As5 0.9997 0.5002 0.7500  6 As 2.75-2.82, 2 Ta 2.82
As6 0.9998 0.0002 0.7500  6 As 2.75-2.82, 2 Ta 2.82
Ta1 0.4998 0.5002 0.7500  2 Ta 2.75, 6 As 2.82
Ta2 0.5002 0.4998 0.2500  2 Ta 2.75, 6 As 2.82



(9)
Ta3As4: optimized geometry, PBE.

Values from the calculation:
Space-group type: I4/mmm
Relative energy among the computed polymorphs in meV/atom: 0
Total magnetization in μB per atom: 0.0000
ΔE_f in eV per formula unit: -2.6

Unit cell a=10.6486 b=10.6486 c=10.6486 alpha=161.58 beta=161.58 gamma=26.17
With the nearest neighbours (Å) after each atom.
Positions (direct):
As1 0.8457 0.8457 0.0000  4 Ta 2.62
As2 0.4323 0.4323 0.0000  5 Ta 2.79-2.82, 5 As 2.81-3.01
As3 0.1543 0.1543 0.0000  4 Ta 2.62
As4 0.5677 0.5677 0.0000  5 Ta 2.79-2.82, 5 As 2.81-3.01
Ta1 0.7038 0.7038 0.0000  5 As 2.62-2.82
Ta2 0.2962 0.2962 0.0000  5 As 2.62-2.82
Ta3 0.0000 0.0000 0.0000  8 As 2.79



(10)
Ta5As4: optimized geometry, PBE.

Values from the calculation:
Space-group type: P6_3/mcm
Relative energy among the computed polymorphs in meV/atom: 401
Total magnetization in μB per atom: 0.0000
ΔE_f in eV per formula unit: -1.1

Unit cell a=8.0816 b=8.0816 c=5.3561 alpha=90.00 beta=90.00 gamma=120.00
With the nearest neighbours (Å) after each atom.
Positions (direct):
Ta1 0.6667 0.3333 0.0000  2 Ta 2.68, 6 As 2.85
Ta2 0.0000 0.7095 0.2500  7 As 2.63-2.80
Ta3 0.0000 0.2905 0.7500  7 As 2.63-2.80
Ta4 0.3333 0.6667 0.0000  2 Ta 2.68, 6 As 2.85
Ta5 0.2905 0.2905 0.2500  7 As 2.63-2.80
Ta6 0.7095 0.7095 0.7500  7 As 2.63-2.80
Ta7 0.6667 0.3333 0.5000  2 Ta 2.68, 6 As 2.85
Ta8 0.3333 0.6667 0.5000  2 Ta 2.68, 6 As 2.85
Ta9 0.7095 0.0000 0.2500  7 As 2.63-2.80
Ta10 0.2905 0.0000 0.7500  7 As 2.63-2.80
As1 0.0000 0.0000 0.5000  2 As 2.68, 6 Ta 2.70
As2 0.6163 0.6163 0.2500  9 Ta 2.63-2.85
As3 0.3837 0.3837 0.7500  9 Ta 2.63-2.85
As4 0.6163 0.0000 0.7500  9 Ta 2.63-2.85
As5 0.0000 0.6163 0.7500  9 Ta 2.63-2.85
As6 0.3837 0.0000 0.2500  9 Ta 2.63-2.85
As7 0.0000 0.3837 0.2500  9 Ta 2.63-2.85
As8 0.0000 0.0000 0.0000  2 As 2.68, 6 Ta 2.70



(11)
Ta3As: optimized geometry, PBE.

Values from the calculation:
Space-group type: Cmcm
Total magnetization in μB per atom: 0.0000
ΔE_f in eV per formula unit: -0.3

Unit cell a=5.6195 b=5.6195 c=4.5183 alpha=90.00 beta=90.00 gamma=101.19
With the nearest neighbours (Å) after each atom.
Positions (direct):
As1 0.6486 0.3514 0.7500  10 Ta 2.80-2.93
As2 0.3514 0.6486 0.2500  10 Ta 2.80-2.93
Ta1 0.6377 0.8505 0.7500  6 Ta 2.79-2.92, 4 As 2.80-2.88
Ta2 0.3623 0.1495 0.2500  6 Ta 2.79-2.92, 4 As 2.80-2.88
Ta3 0.8505 0.6377 0.2500  6 Ta 2.79-2.92, 4 As 2.80-2.88
Ta4 0.8631 0.1369 0.2500  8 Ta 2.79-2.92, 2 As 2.93
Ta5 0.1369 0.8631 0.7500  8 Ta 2.79-2.92, 2 As 2.93
Ta6 0.1495 0.3623 0.7500  6 Ta 2.79-2.92, 4 As 2.80-2.88



(12)
Ta3As: optimized geometry, PBE.

Values from the calculation:
Space-group type: R-3m
Total magnetization in μB per atom: 0.0000
ΔE_f in eV per formula unit: 0.1

Unit cell a=8.2499 b=8.2499 c=8.2499 alpha=22.79 beta=22.79 gamma=22.79
With the nearest neighbours (Å) after each atom.
Positions (direct):
Ta1 0.7435 0.7435 0.7435  3 As 2.64, 3 Ta 2.87
Ta2 0.2565 0.2565 0.2565  3 As 2.64, 3 Ta 2.87
Ta3 0.5000 0.5000 0.5000  6 Ta 2.87
As1 0.0000 0.0000 0.0000  6 Ta 2.64



(13)
Ta4As5: optimized geometry, PBE.

Values from the calculation:
Space-group type: P6_3/mcm
Relative energy among the computed polymorphs in meV/atom: 0
Total magnetization in μB per atom: 0.0000
ΔE_f in eV per formula unit: -0.2

Unit cell a=8.2362 b=8.2362 c=5.3371 alpha=90.00 beta=90.00 gamma=120.00
With the nearest neighbours (Å) after each atom.
Positions (direct):
As1 0.0000 0.7088 0.2500  7 Ta 2.71-2.90
As2 0.7088 0.7088 0.7500  7 Ta 2.71-2.90
As3 0.6667 0.3333 0.0000  2 As 2.67, 6 Ta 2.97
As4 0.2912 0.0000 0.7500  7 Ta 2.71-2.90
As5 0.6667 0.3333 0.5000  2 As 2.67, 6 Ta 2.97
As6 0.3333 0.6667 0.0000  2 As 2.67, 6 Ta 2.97
As7 0.0000 0.2912 0.7500  7 Ta 2.71-2.90
As8 0.2912 0.2912 0.2500  7 Ta 2.71-2.90
As9 0.7088 0.0000 0.2500  7 Ta 2.71-2.90
As10 0.3333 0.6667 0.5000  2 As 2.67, 6 Ta 2.97
Ta1 0.0000 0.3566 0.2500  9 As 2.71-2.97
Ta2 0.6434 0.6434 0.2500  9 As 2.71-2.97
Ta3 0.3566 0.3566 0.7500  9 As 2.71-2.97
Ta4 0.3566 0.0000 0.2500  9 As 2.71-2.97
Ta5 0.6434 0.0000 0.7500  9 As 2.71-2.97
Ta6 0.0000 0.0000 0.0000  2 Ta 2.67, 6 As 2.74
Ta7 0.0000 0.0000 0.5000  2 Ta 2.67, 6 As 2.74
Ta8 0.0000 0.6434 0.7500  9 As 2.71-2.97



(14)
Ta5As: optimized geometry, PBE.

Values from the calculation:
Space-group type: P4/mmm
Relative energy among the computed polymorphs in meV/atom: 253
Total magnetization in μB per atom: 0.0000
ΔE_f in eV per formula unit: 1.0

Unit cell a=2.8608 b=2.8608 c=13.2982 alpha=90.00 beta=90.00 gamma=90.00
With the nearest neighbours (Å) after each atom.
Positions (direct):
Ta1 0.0000 0.0000 0.1514  4 As 2.85, 8 Ta 2.86-3.07
Ta2 0.5000 0.5000 0.3247  12 Ta 2.86-3.09
Ta3 0.0000 0.0000 0.8486  4 As 2.85, 8 Ta 2.86-3.07
Ta4 0.0000 0.0000 0.5000  12 Ta 2.86-3.09
Ta5 0.5000 0.5000 0.6753  12 Ta 2.86-3.09
As1 0.5000 0.5000 0.0000  8 Ta 2.85, 4 As 2.86



(15)
Ta3As: optimized geometry, PBE.

Values from the calculation:
Space-group type: I-4
Total magnetization in μB per atom: 0.0000
ΔE_f in eV per formula unit: -1.3

Unit cell a=5.1454 b=7.7906 c=7.7906 alpha=83.74 beta=70.72 gamma=70.72
With the nearest neighbours (Å) after each atom.
Positions (direct):
Ta1 0.3637 0.9881 0.8181  2 As 2.62-2.72, 1 Ta 2.68
Ta2 0.5255 0.3406 0.6297  4 As 2.64-2.69, 1 Ta 2.90
Ta3 0.8182 0.8181 0.0119  2 As 2.62-2.72, 1 Ta 2.68
Ta4 0.4958 0.6594 0.3703  4 As 2.64-2.69, 1 Ta 2.90
Ta5 0.0642 0.4058 0.9742  2 As 2.62-2.69, 1 Ta 2.90
Ta6 0.8448 0.6297 0.6594  4 As 2.64-2.69, 1 Ta 2.90
Ta7 0.1699 0.0119 0.1819  2 As 2.62-2.72, 1 Ta 2.68
Ta8 0.1339 0.3703 0.3406  4 As 2.64-2.69, 1 Ta 2.90
Ta9 0.4443 0.5942 0.0258  2 As 2.62-2.69, 1 Ta 2.90
Ta10 0.5299 0.0258 0.4058  2 As 2.62-2.69, 1 Ta 2.90
Ta11 0.9616 0.9742 0.5942  2 As 2.62-2.69, 1 Ta 2.90
Ta12 0.6482 0.1819 0.9881  2 As 2.62-2.72, 1 Ta 2.68
As1 0.0353 0.2654 0.6837  8 Ta 2.62-2.72
As2 0.9844 0.7346 0.3163  8 Ta 2.62-2.72
As3 0.2810 0.6837 0.7346  8 Ta 2.62-2.72
As4 0.6993 0.3163 0.2654  8 Ta 2.62-2.72



(16)
Ta3As: optimized geometry, PBE.

Values from the calculation:
Space-group type: P4_2/n
Total magnetization in μB per atom: 0.0000
ΔE_f in eV per formula unit: -1.3

Unit cell a=10.3715 b=10.3715 c=5.1732 alpha=90.00 beta=90.00 gamma=90.00
With the nearest neighbours (Å) after each atom.
Positions (direct):
Ta1 0.8502 0.0038 0.7440  4 As 2.63-2.66, 2 Ta 2.89-2.91
Ta2 0.1498 0.9962 0.7440  4 As 2.63-2.66, 2 Ta 2.89-2.91
Ta3 0.5038 0.6498 0.2440  4 As 2.63-2.66, 2 Ta 2.89-2.91
Ta4 0.2939 0.1990 0.9971  2 As 2.63-2.65, 3 Ta 2.89-2.91
Ta5 0.0925 0.4108 0.0073  2 As 2.64-2.65, 1 Ta 2.66
Ta6 0.6990 0.2061 0.4971  2 As 2.63-2.65, 3 Ta 2.89-2.91
Ta7 0.6498 0.4962 0.7560  4 As 2.63-2.66, 2 Ta 2.89-2.91
Ta8 0.3010 0.7939 0.4971  2 As 2.63-2.65, 3 Ta 2.89-2.91
Ta9 0.9108 0.4075 0.5073  2 As 2.64-2.65, 1 Ta 2.66
Ta10 0.7061 0.8010 0.9971  2 As 2.63-2.65, 3 Ta 2.89-2.91
Ta11 0.4075 0.0892 0.4927  2 As 2.64-2.65, 1 Ta 2.66
Ta12 0.0892 0.5925 0.5073  2 As 2.64-2.65, 1 Ta 2.66
Ta13 0.9075 0.5892 0.0073  2 As 2.64-2.65, 1 Ta 2.66
Ta14 0.7939 0.6990 0.5029  2 As 2.63-2.65, 3 Ta 2.89-2.91
Ta15 0.3502 0.5038 0.7560  4 As 2.63-2.66, 2 Ta 2.89-2.91
Ta16 0.8010 0.2939 0.0029  2 As 2.63-2.65, 3 Ta 2.89-2.91
Ta17 0.1990 0.7061 0.0029  2 As 2.63-2.65, 3 Ta 2.89-2.91
Ta18 0.5925 0.9108 0.4927  2 As 2.64-2.65, 1 Ta 2.66
Ta19 0.4108 0.9075 0.9927  2 As 2.64-2.65, 1 Ta 2.66
Ta20 0.0038 0.1498 0.2560  4 As 2.63-2.66, 2 Ta 2.89-2.91
Ta21 0.5892 0.0925 0.9927  2 As 2.64-2.65, 1 Ta 2.66
Ta22 0.4962 0.3502 0.2440  4 As 2.63-2.66, 2 Ta 2.89-2.91
Ta23 0.9962 0.8502 0.2560  4 As 2.63-2.66, 2 Ta 2.89-2.91
Ta24 0.2061 0.3010 0.5029  2 As 2.63-2.65, 3 Ta 2.89-2.91
As1 0.7064 0.4925 0.2563  8 Ta 2.63-2.66
As2 0.2064 0.9925 0.2437  8 Ta 2.63-2.66
As3 0.5075 0.7064 0.7437  8 Ta 2.63-2.66
As4 0.9925 0.7936 0.7563  8 Ta 2.63-2.66
As5 0.2936 0.5075 0.2563  8 Ta 2.63-2.66
As6 0.7936 0.0075 0.2437  8 Ta 2.63-2.66
As7 0.4925 0.2936 0.7437  8 Ta 2.63-2.66
As8 0.0075 0.2064 0.7563  8 Ta 2.63-2.66



(17)
TaAs2: optimized geometry, PBE.

Values from the calculation:
Space-group type: Cm
Total magnetization in μB per atom: 0.0000
ΔE_f in eV per formula unit: -0.3

Unit cell a=5.0147 b=5.0147 c=6.9083 alpha=86.81 beta=86.81 gamma=41.70
With the nearest neighbours (Å) after each atom.
Positions (direct):
Ta1 0.2239 0.2239 0.0143  8 As 2.64-2.85
Ta2 0.9677 0.9677 0.3827  6 As 2.49-2.75
As1 0.6356 0.6356 0.7669  1 As 2.47, 2 Ta 2.64
As2 0.6808 0.6808 0.3200  5 Ta 2.69-2.78
As3 0.3901 0.3901 0.6552  1 As 2.47, 2 Ta 2.66
As4 0.9352 0.9352 0.0276  4 Ta 2.49-2.70



(18)
TaAs2: optimized geometry, PBE.

Values from the calculation:
Space-group type: Pnnm
Total magnetization in μB per atom: 0.0000
ΔE_f in eV per formula unit: -0.1

Unit cell a=3.2920 b=5.7480 c=6.6143 alpha=90.00 beta=90.00 gamma=90.00
With the nearest neighbours (Å) after each atom.
Positions (direct):
Ta1 0.0000 0.0000 0.0000  6 As 2.61-2.69
Ta2 0.5000 0.5000 0.5000  6 As 2.61-2.69
As1 0.5000 0.3214 0.1247  3 Ta 2.61-2.69, 1 As 2.63
As2 0.5000 0.6786 0.8753  3 Ta 2.61-2.69, 1 As 2.63
As3 0.0000 0.1786 0.6247  3 Ta 2.61-2.69, 1 As 2.63
As4 0.0000 0.8214 0.3753  3 Ta 2.61-2.69, 1 As 2.63



(19)
Ta3As: optimized geometry, PBE.

Values from the calculation:
Space-group type: I4/mmm
Total magnetization in μB per atom: 0.0000
ΔE_f in eV per formula unit: 0.1

Unit cell a=5.2616 b=5.2616 c=5.2616 alpha=135.78 beta=135.78 gamma=64.33
With the nearest neighbours (Å) after each atom.
Positions (direct):
Ta1 0.7500 0.2500 0.5000  8 Ta 2.80-2.98, 4 As 2.98
Ta2 0.5000 0.5000 0.0000  4 As 2.80, 8 Ta 2.98
Ta3 0.2500 0.7500 0.5000  8 Ta 2.80-2.98, 4 As 2.98
As1 0.0000 0.0000 0.0000  12 Ta 2.80-2.98



(20)
Ta5As3: optimized geometry, PBE.

Values from the calculation:
Space-group type: P6_3/mcm
Relative energy among the computed polymorphs in meV/atom: 83
Total magnetization in μB per atom: 0.0000
ΔE_f in eV per formula unit: -1.8

Unit cell a=7.6389 b=7.6389 c=5.3139 alpha=90.00 beta=90.00 gamma=120.00
With the nearest neighbours (Å) after each atom.
Positions (direct):
Ta1 0.0000 0.7628 0.7500  5 As 2.61-2.91
Ta2 0.6667 0.3333 0.0000  2 Ta 2.66, 6 As 2.70
Ta3 0.7628 0.0000 0.7500  5 As 2.61-2.91
Ta4 0.6667 0.3333 0.5000  2 Ta 2.66, 6 As 2.70
Ta5 0.0000 0.2372 0.2500  5 As 2.61-2.91
Ta6 0.3333 0.6667 0.5000  2 Ta 2.66, 6 As 2.70
Ta7 0.2372 0.0000 0.2500  5 As 2.61-2.91
Ta8 0.7628 0.7628 0.2500  5 As 2.61-2.91
Ta9 0.3333 0.6667 0.0000  2 Ta 2.66, 6 As 2.70
Ta10 0.2372 0.2372 0.7500  5 As 2.61-2.91
As1 0.0000 0.3916 0.7500  9 Ta 2.61-2.91
As2 0.6084 0.0000 0.2500  9 Ta 2.61-2.91
As3 0.6084 0.6084 0.7500  9 Ta 2.61-2.91
As4 0.0000 0.6084 0.2500  9 Ta 2.61-2.91
As5 0.3916 0.0000 0.7500  9 Ta 2.61-2.91
As6 0.3916 0.3916 0.2500  9 Ta 2.61-2.91